(1)
A relaxed InMoW2 crystal, computed with PBE.

Computed properties:
Its energy of formation is 1.78 eV/f.u. Its magnetic moment is 0.000 μB/f.u. For the volume, the calculation gives 17.1 Å³ per atom.

a = 5.425 Å, b = 5.425 Å, c = 2.786 Å
α = 100.21°, β = 100.21°, γ = 117.69°
Sites, in units of the cell vectors:
In1 0.000 0.000 0.000
Mo1 0.500 0.500 0.000
W1 0.000 0.500 0.500
W2 0.500 0.000 0.500



(2)
A relaxed LiRe2Ir crystal, computed with PBE.

Computed properties:
Its energy of formation is 0.42 eV/f.u. Its magnetic moment is 0.000 μB/f.u. For the volume, the calculation gives 14.0 Å³ per atom.

a = 2.675 Å, b = 4.105 Å, c = 5.166 Å
α = 90.00°, β = 99.35°, γ = 90.00°
Sites, in units of the cell vectors:
Li1 0.000 0.000 0.000
Re1 0.468 0.500 0.236
Re2 0.532 0.500 0.764
Ir1 0.000 0.000 0.500



(3)
A relaxed Tb2ScAlO crystal, computed with PBE.

Computed properties:
Its magnetic moment is 0.000 μB/f.u. The uncorrected formation energy comes out at -1.3900 eV per atom. For the volume, the calculation gives 20.0 Å³ per atom.

a = 4.781 Å, b = 4.781 Å, c = 4.382 Å
α = 90.00°, β = 90.00°, γ = 90.00°
Sites, in units of the cell vectors:
Tb1 0.000 0.500 0.000
Tb2 0.500 0.000 0.000
Sc1 0.000 0.000 0.500
Al1 0.500 0.500 0.500
O1 0.000 0.000 0.000



(4)
A relaxed NdTmMg2Tl4 crystal, computed with PBE.

Computed properties:
Its energy of formation is -1.70 eV/f.u. Its magnetic moment is 0.000 μB/f.u. For the volume, the calculation gives 26.3 Å³ per atom.

a = 9.309 Å, b = 9.309 Å, c = 9.309 Å
α = 32.78°, β = 32.78°, γ = 32.78°
Sites, in units of the cell vectors:
Nd1 0.000 0.000 0.000
Tm1 0.500 0.500 0.500
Mg1 0.250 0.250 0.250
Mg2 0.750 0.750 0.750
Tl1 0.127 0.127 0.127
Tl2 0.379 0.379 0.379
Tl3 0.621 0.621 0.621
Tl4 0.873 0.873 0.873



(5)
A relaxed CoRe crystal, computed with PBE.

Computed properties:
Its energy of formation is 0.19 eV/f.u. Its magnetic moment is 0.506 μB/f.u. For the volume, the calculation gives 12.9 Å³ per atom.

a = 2.662 Å, b = 2.662 Å, c = 7.264 Å
α = 90.00°, β = 90.00°, γ = 90.00°
Sites, in units of the cell vectors:
Co1 0.250 0.250 0.119
Co2 0.750 0.750 0.881
Re1 0.250 0.250 0.651
Re2 0.750 0.750 0.349



(6)
A relaxed Ca2ZnAu crystal, computed with PBE.

Computed properties:
Its energy of formation is -1.49 eV/f.u. Its magnetic moment is 0.000 μB/f.u. For the volume, the calculation gives 27.3 Å³ per atom.

a = 4.184 Å, b = 4.184 Å, c = 6.228 Å
α = 90.00°, β = 90.00°, γ = 90.00°
Sites, in units of the cell vectors:
Ca1 0.000 0.000 0.000
Ca2 0.500 0.500 0.396
Zn1 0.000 0.000 0.520
Au1 0.500 0.500 0.889



(7)
A relaxed Ag3Te4As crystal, computed with PBE.

Computed properties:
Its magnetic moment is 0.000 μB/f.u. The uncorrected formation energy comes out at 0.0057 eV per atom. The relative energy among the computed polymorphs is 15 meV per atom. For the volume, the calculation gives 32.2 Å³ per atom.

a = 8.940 Å, b = 7.779 Å, c = 7.416 Å
α = 90.00°, β = 90.00°, γ = 90.00°
Sites, in units of the cell vectors:
Ag1 0.000 0.153 0.000
Ag2 0.240 0.318 0.469
Ag3 0.260 0.682 0.969
Ag4 0.500 0.847 0.500
Ag5 0.740 0.682 0.969
Ag6 0.760 0.318 0.469
Te1 0.000 0.143 0.617
Te2 0.000 0.813 0.122
Te3 0.242 0.660 0.596
Te4 0.258 0.340 0.096
Te5 0.500 0.187 0.622
Te6 0.500 0.857 0.117
Te7 0.742 0.340 0.096
Te8 0.758 0.660 0.596
As1 0.000 0.829 0.482
As2 0.500 0.171 0.982



(8)
A relaxed ZnWAu2 crystal, computed with PBE.

Computed properties:
Its energy of formation is 0.60 eV/f.u. Its magnetic moment is 0.000 μB/f.u. For the volume, the calculation gives 16.4 Å³ per atom.

a = 2.851 Å, b = 2.851 Å, c = 8.083 Å
α = 90.00°, β = 90.00°, γ = 90.00°
Sites, in units of the cell vectors:
Zn1 0.000 0.000 0.000
W1 0.000 0.000 0.500
Au1 0.500 0.500 0.245
Au2 0.500 0.500 0.755



(9)
A relaxed Ag4Br5Cl2 crystal, computed with PBE.

Computed properties:
Its magnetic moment is 0.000 μB/f.u. The uncorrected formation energy comes out at -0.2364 eV per atom. For the volume, the calculation gives 30.8 Å³ per atom.

a = 4.662 Å, b = 8.213 Å, c = 9.451 Å
α = 75.51°, β = 88.79°, γ = 75.38°
Sites, in units of the cell vectors:
Ag1 0.027 0.338 0.364
Ag2 0.327 0.987 0.775
Ag3 0.673 0.013 0.225
Ag4 0.973 0.662 0.636
Br1 0.000 0.000 0.000
Br2 0.174 0.327 0.647
Br3 0.433 0.644 0.812
Br4 0.567 0.356 0.188
Br5 0.826 0.673 0.353
Cl1 0.229 0.020 0.372
Cl2 0.771 0.980 0.628



(10)
A relaxed Tb2AsAu crystal, computed with PBE.

Computed properties:
Its energy of formation is -4.29 eV/f.u. Its magnetic moment is 0.000 μB/f.u. For the volume, the calculation gives 25.8 Å³ per atom.

a = 7.459 Å, b = 7.459 Å, c = 7.459 Å
α = 31.94°, β = 31.94°, γ = 31.94°
Sites, in units of the cell vectors:
Tb1 0.246 0.246 0.246
Tb2 0.754 0.754 0.754
As1 0.500 0.500 0.500
Au1 0.000 0.000 0.000



(11)
A relaxed PrEr6Al6 crystal, computed with PBE.

Computed properties:
Its energy of formation is -4.28 eV/f.u. Its magnetic moment is 0.000 μB/f.u. For the volume, the calculation gives 24.2 Å³ per atom.

a = 7.878 Å, b = 7.878 Å, c = 7.878 Å
α = 136.10°, β = 99.63°, γ = 96.44°
Sites, in units of the cell vectors:
Pr1 0.000 0.000 0.000
Er1 0.183 0.500 0.683
Er2 0.336 0.336 0.000
Er3 0.346 0.000 0.346
Er4 0.654 0.000 0.654
Er5 0.664 0.664 0.000
Er6 0.817 0.500 0.317
Al1 0.000 0.000 0.500
Al2 0.000 0.500 0.000
Al3 0.237 0.737 0.500
Al4 0.500 0.000 0.000
Al5 0.500 0.500 0.500
Al6 0.763 0.263 0.500



(12)
A relaxed HoSc4Sb5 crystal, computed with PBE.

Computed properties:
Its magnetic moment is 0.000 μB/f.u. The uncorrected formation energy comes out at -0.9655 eV per atom. For the volume, the calculation gives 26.3 Å³ per atom.

a = 11.120 Å, b = 11.120 Å, c = 11.120 Å
α = 158.22°, β = 148.90°, γ = 38.29°
Sites, in units of the cell vectors:
Ho1 0.000 0.000 0.000
Sc1 0.203 0.203 0.000
Sc2 0.400 0.400 0.000
Sc3 0.600 0.600 0.000
Sc4 0.797 0.797 0.000
Sb1 0.105 0.605 0.500
Sb2 0.301 0.801 0.500
Sb3 0.500 0.000 0.500
Sb4 0.699 0.199 0.500
Sb5 0.895 0.395 0.500



(13)
A relaxed Ga6AgPd crystal, computed with PBE.

Computed properties:
Its energy of formation is -0.75 eV/f.u. Its magnetic moment is 0.000 μB/f.u. For the volume, the calculation gives 18.1 Å³ per atom.

a = 5.325 Å, b = 5.325 Å, c = 5.501 Å
α = 100.77°, β = 100.77°, γ = 103.35°
Sites, in units of the cell vectors:
Ga1 0.045 0.594 0.263
Ga2 0.095 0.095 0.258
Ga3 0.406 0.955 0.737
Ga4 0.594 0.045 0.263
Ga5 0.905 0.905 0.742
Ga6 0.955 0.406 0.737
Ag1 0.500 0.500 0.000
Pd1 0.500 0.500 0.500